No. 1
VASP calculation (PBE-GGA) on a geometry-optimized CaHfAs2 structure.

Summary:
Total magnetization (μB per atom): 0.000
Crystal system: trigonal
ΔE to the lowest computed polymorph (meV/atom): 0
Energy of formation from the pure elements (eV/atom): -1.15

```
CaHfAs2
1.0
1.9741 1.1397 6.8009
-1.9741 1.1397 6.8009
0.0000 -2.2794 6.8009
Ca Hf As
1 1 2
Direct
0.0000 0.0000 0.0000
0.5000 0.5000 0.5000
0.2414 0.2414 0.2414
0.7586 0.7586 0.7586
```

No. 2
VASP calculation (PBE-GGA) on a geometry-optimized Ca2HfAs structure.

Summary:
Total magnetization (μB per atom): 0.000
Crystal system: tetragonal
Energy of formation from the pure elements (eV/atom): 0.01

```
Ca2HfAs
1.0
-4.9529 4.9529 2.6201
4.9529 -4.9529 2.6201
4.9529 4.9529 -2.6201
Ca Hf As
4 2 2
Direct
0.0102 0.1250 0.3852
0.3750 0.9898 0.1148
0.7398 0.6250 0.6148
0.8750 0.2602 0.8852
0.2500 0.7500 0.5000
0.5000 0.5000 0.0000
0.0000 0.0000 0.0000
0.7500 0.2500 0.5000
```

No. 3
VASP calculation (PBE-GGA) on a geometry-optimized CaHfAs2 structure.

Summary:
Total magnetization (μB per atom): 0.000
Crystal system: trigonal
ΔE to the lowest computed polymorph (meV/atom): 70
Energy of formation from the pure elements (eV/atom): -1.08

```
CaHfAs2
1.0
1.9654 1.1347 6.9800
-1.9654 1.1347 6.9800
0.0000 -2.2694 6.9800
Ca Hf As
1 1 2
Direct
0.0000 0.0000 0.0000
0.1710 0.1710 0.1710
0.5763 0.5763 0.5763
0.7626 0.7626 0.7626
```

No. 4
VASP calculation (PBE-GGA) on a geometry-optimized CaHf3As structure.

Summary:
Total magnetization (μB per atom): 0.000
Crystal system: cubic
ΔE to the lowest computed polymorph (meV/atom): 0
Energy of formation from the pure elements (eV/atom): 0.12

```
CaHf3As
1.0
5.0817 0.0000 0.0000
0.0000 5.0817 0.0000
0.0000 0.0000 5.0817
Ca Hf As
1 3 1
Direct
0.0000 0.0000 0.0000
0.0000 0.5000 0.5000
0.5000 0.0000 0.5000
0.5000 0.5000 0.0000
0.5000 0.5000 0.5000
```

No. 5
VASP calculation (PBE-GGA) on a geometry-optimized Ca3Ho2HfAs6 structure.

Summary:
Total magnetization (μB per atom): 0.000
Crystal system: monoclinic
Energy of formation from the pure elements (eV/atom): -1.19

```
Ca3Ho2HfAs6
1.0
3.5357 -6.1232 0.0000
3.5357 6.1232 0.0000
-2.3597 0.0000 6.8698
Ca Ho Hf As
3 2 1 6
Direct
0.0000 0.0000 0.0000
0.3294 0.6706 0.0000
0.6706 0.3294 0.0000
0.1662 0.8338 0.5000
0.8338 0.1662 0.5000
0.5000 0.5000 0.5000
0.1036 0.4235 0.2700
0.2584 0.2584 0.7316
0.4235 0.1036 0.2700
0.5765 0.8964 0.7300
0.7416 0.7416 0.2684
0.8964 0.5765 0.7300
```

No. 6
VASP calculation (PBE-GGA) on a geometry-optimized Ca4HoHf3As8 structure.

Summary:
Total magnetization (μB per atom): 0.000
Crystal system: trigonal
Energy of formation from the pure elements (eV/atom): -1.17

```
Ca4HoHf3As8
1.0
4.0010 2.3100 6.8192
-4.0010 2.3100 6.8192
0.0000 -4.6199 6.8192
Ca Ho Hf As
4 1 3 8
Direct
0.0000 0.0000 0.0000
0.0000 0.5000 0.5000
0.5000 0.0000 0.5000
0.5000 0.5000 0.0000
0.5000 0.5000 0.5000
0.0000 0.0000 0.5000
0.0000 0.5000 0.0000
0.5000 0.0000 0.0000
0.2315 0.7479 0.7479
0.2409 0.2409 0.2409
0.2521 0.2521 0.7685
0.2521 0.7685 0.2521
0.7479 0.2315 0.7479
0.7479 0.7479 0.2315
0.7591 0.7591 0.7591
0.7685 0.2521 0.2521
```

No. 7
VASP calculation (PBE-GGA) on a geometry-optimized Ca3HoHf2As6 structure.

Summary:
Total magnetization (μB per atom): 0.000
Crystal system: monoclinic
Energy of formation from the pure elements (eV/atom): -1.18

```
Ca3HoHf2As6
1.0
3.4727 -6.0216 0.0000
3.4727 6.0216 0.0000
-2.3301 0.0000 6.8485
Ca Ho Hf As
3 1 2 6
Direct
0.0000 0.0000 0.0000
0.3371 0.6629 0.0000
0.6629 0.3371 0.0000
0.5000 0.5000 0.5000
0.1675 0.8325 0.5000
0.8325 0.1675 0.5000
0.0777 0.4238 0.2725
0.2291 0.2291 0.7259
0.4238 0.0777 0.2725
0.5762 0.9223 0.7275
0.7709 0.7709 0.2741
0.9223 0.5762 0.7275
```

No. 8
VASP calculation (PBE-GGA) on a geometry-optimized Ca2HoHfAs4 structure.

Summary:
Total magnetization (μB per atom): 0.000
Crystal system: monoclinic
Energy of formation from the pure elements (eV/atom): -1.18

```
Ca2HoHfAs4
1.0
7.0262 0.0000 0.0000
0.0000 4.0339 0.0000
-2.3158 0.0000 6.8649
Ca Ho Hf As
2 1 1 4
Direct
0.0000 0.0000 0.0000
0.5000 0.5000 0.0000
0.0000 0.5000 0.5000
0.5000 0.0000 0.5000
0.2562 0.0000 0.7314
0.2695 0.5000 0.2745
0.7305 0.5000 0.7255
0.7438 0.0000 0.2686
```

No. 9
VASP calculation (PBE-GGA) on a geometry-optimized Ca2LaHfAs4 structure.

Summary:
Total magnetization (μB per atom): 0.000
Crystal system: monoclinic
Energy of formation from the pure elements (eV/atom): -1.15

```
Ca2LaHfAs4
1.0
7.2134 0.0000 0.0000
0.0000 4.1399 0.0000
-2.3605 0.0000 6.8996
Ca La Hf As
2 1 1 4
Direct
0.0000 0.0000 0.0000
0.5000 0.5000 0.0000
0.0000 0.5000 0.5000
0.5000 0.0000 0.5000
0.2708 0.0000 0.7387
0.2776 0.5000 0.2727
0.7224 0.5000 0.7273
0.7292 0.0000 0.2613
```

No. 10
VASP calculation (PBE-GGA) on a geometry-optimized Ca2Hf4As3N2 structure.

Summary:
Total magnetization (μB per atom): 0.000
Raw formation energy (eV/atom): -1.13
Crystal system: tetragonal

```
Ca2Hf4As3N2
1.0
-2.1714 2.1714 11.2826
2.1714 -2.1714 11.2826
2.1714 2.1714 -11.2826
Ca Hf As N
2 4 3 2
Direct
0.1956 0.1956 0.0000
0.8044 0.8044 0.0000
0.0770 0.5770 0.5000
0.4230 0.9230 0.5000
0.5770 0.0770 0.5000
0.9230 0.4230 0.5000
0.3327 0.3327 0.0000
0.5000 0.5000 0.0000
0.6673 0.6673 0.0000
0.0895 0.0895 0.0000
0.9105 0.9105 0.0000
```

No. 11
VASP calculation (PBE-GGA) on a geometry-optimized CaNd2HfAs4 structure.

Summary:
Total magnetization (μB per atom): 0.000
Crystal system: monoclinic
Energy of formation from the pure elements (eV/atom): -1.27

```
CaNd2HfAs4
1.0
7.1047 0.0000 0.0000
0.0000 4.1349 0.0000
-2.3671 0.0000 6.8224
Ca Nd Hf As
1 2 1 4
Direct
0.0000 0.0000 0.0000
0.5000 0.0000 0.5000
0.5000 0.5000 0.0000
0.0000 0.5000 0.5000
0.2280 0.0000 0.7317
0.2356 0.5000 0.2601
0.7644 0.5000 0.7399
0.7720 0.0000 0.2683
```

No. 12
VASP calculation (PBE-GGA) on a geometry-optimized Ca2NdHfAs4 structure.

Summary:
Total magnetization (μB per atom): 0.000
Crystal system: monoclinic
Energy of formation from the pure elements (eV/atom): -1.15

```
Ca2NdHfAs4
1.0
7.1396 0.0000 0.0000
0.0000 4.0984 0.0000
-2.3488 0.0000 6.8963
Ca Nd Hf As
2 1 1 4
Direct
0.0000 0.0000 0.0000
0.5000 0.5000 0.0000
0.0000 0.5000 0.5000
0.5000 0.0000 0.5000
0.2659 0.0000 0.7372
0.2752 0.5000 0.2729
0.7248 0.5000 0.7271
0.7341 0.0000 0.2628
```

No. 13
VASP calculation (PBE-GGA) on a geometry-optimized Ca3Hf2NpAs6 structure.

Summary:
Total magnetization (μB per atom): 0.248
Crystal system: monoclinic
Energy of formation from the pure elements (eV/atom): -1.06

```
Ca3Hf2NpAs6
1.0
3.4804 -6.0313 0.0000
3.4804 6.0313 0.0000
-2.3230 0.0000 6.8074
Ca Hf Np As
3 2 1 6
Direct
0.0000 0.0000 0.0000
0.3354 0.6646 0.0000
0.6646 0.3354 0.0000
0.1670 0.8330 0.5000
0.8330 0.1670 0.5000
0.5000 0.5000 0.5000
0.0834 0.4245 0.2740
0.2337 0.2337 0.7245
0.4245 0.0834 0.2740
0.5755 0.9166 0.7260
0.7663 0.7663 0.2755
0.9166 0.5755 0.7260
```

No. 14
VASP calculation (PBE-GGA) on a geometry-optimized Ca2HfAsO8 structure.

Summary:
Total magnetization (μB per atom): 0.250
Raw formation energy (eV/atom): -1.79
Crystal system: trigonal

```
Ca2HfAsO8
1.0
6.4161 0.0000 0.0000
-3.2081 5.5565 0.0000
0.0000 0.0000 5.3113
Ca Hf As O
2 1 1 8
Direct
0.3333 0.6667 0.1777
0.6667 0.3333 0.8223
0.0000 0.0000 0.5000
0.0000 0.0000 0.0000
0.1324 0.2649 0.2190
0.1324 0.8676 0.2190
0.2649 0.1324 0.7810
0.3333 0.6667 0.6978
0.6667 0.3333 0.3022
0.7351 0.8676 0.2190
0.8676 0.1324 0.7810
0.8676 0.7351 0.7810
```

No. 15
VASP calculation (PBE-GGA) on a geometry-optimized CaHfAsO5 structure.

Summary:
Total magnetization (μB per atom): 0.104
Raw formation energy (eV/atom): -2.47
Crystal system: monoclinic

```
CaHfAsO5
1.0
3.6755 -4.4754 0.0000
3.6755 4.4754 0.0000
-3.6340 0.0000 6.9695
Ca Hf As O
2 2 2 10
Direct
0.0654 0.9346 0.7500
0.9346 0.0654 0.2500
0.0000 0.5000 0.0000
0.5000 0.0000 0.5000
0.4388 0.5612 0.7500
0.5612 0.4388 0.2500
0.1944 0.8056 0.2500
0.2090 0.2573 0.0799
0.2573 0.2090 0.5799
0.2581 0.6514 0.8913
0.3486 0.7419 0.6087
0.6514 0.2581 0.3913
0.7419 0.3486 0.1087
0.7427 0.7910 0.4201
0.7910 0.7427 0.9201
0.8056 0.1944 0.7500
```

No. 16
VASP calculation (PBE-GGA) on a geometry-optimized CaHfPa2As4 structure.

Summary:
Total magnetization (μB per atom): 0.141
Crystal system: tetragonal
Energy of formation from the pure elements (eV/atom): -1.04

```
CaHfPa2As4
1.0
-2.8665 2.8665 5.7169
2.8665 -2.8665 5.7169
2.8665 2.8665 -5.7169
Ca Hf Pa As
1 1 2 4
Direct
0.0000 0.0000 0.0000
0.2500 0.7500 0.5000
0.5000 0.5000 0.0000
0.7500 0.2500 0.5000
0.0059 0.5059 0.5000
0.2514 0.2514 0.0000
0.4941 0.9941 0.5000
0.7486 0.7486 0.0000
```

No. 17
VASP calculation (PBE-GGA) on a geometry-optimized Ca3Pm2HfAs6 structure.

Summary:
Total magnetization (μB per atom): 0.000
Crystal system: monoclinic
Energy of formation from the pure elements (eV/atom): -1.17

```
Ca3Pm2HfAs6
1.0
3.5885 -6.2270 0.0000
3.5885 6.2270 0.0000
-2.4161 0.0000 6.9096
Ca Pm Hf As
3 2 1 6
Direct
0.0000 0.0000 0.0000
0.3275 0.6725 0.0000
0.6725 0.3275 0.0000
0.1659 0.8341 0.5000
0.8341 0.1659 0.5000
0.5000 0.5000 0.5000
0.1085 0.4221 0.2655
0.2676 0.2676 0.7369
0.4221 0.1085 0.2655
0.5779 0.8915 0.7345
0.7324 0.7324 0.2631
0.8915 0.5779 0.7345
```

No. 18
VASP calculation (PBE-GGA) on a geometry-optimized CaPr2HfAs4 structure.

Summary:
Total magnetization (μB per atom): 0.000
Crystal system: monoclinic
Energy of formation from the pure elements (eV/atom): -1.26

```
CaPr2HfAs4
1.0
7.1327 0.0000 0.0000
0.0000 4.1545 0.0000
-2.3800 0.0000 6.8536
Ca Pr Hf As
1 2 1 4
Direct
0.0000 0.0000 0.0000
0.5000 0.0000 0.5000
0.5000 0.5000 0.0000
0.0000 0.5000 0.5000
0.2259 0.0000 0.7308
0.2336 0.5000 0.2597
0.7664 0.5000 0.7403
0.7741 0.0000 0.2692
```

No. 19
VASP calculation (PBE-GGA) on a geometry-optimized Ca3PuHf2As6 structure.

Summary:
Total magnetization (μB per atom): 0.349
Crystal system: monoclinic
Energy of formation from the pure elements (eV/atom): -1.10

```
Ca3PuHf2As6
1.0
3.4890 -6.0447 0.0000
3.4890 6.0447 0.0000
-2.3283 0.0000 6.8088
Ca Pu Hf As
3 1 2 6
Direct
0.0000 0.0000 0.0000
0.3360 0.6640 0.0000
0.6640 0.3360 0.0000
0.5000 0.5000 0.5000
0.1672 0.8328 0.5000
0.8328 0.1672 0.5000
0.0812 0.4244 0.2738
0.2316 0.2316 0.7246
0.4244 0.0812 0.2738
0.5756 0.9188 0.7262
0.7684 0.7684 0.2754
0.9188 0.5756 0.7262
```

No. 20
VASP calculation (PBE-GGA) on a geometry-optimized CaPu2HfAs4 structure.

Summary:
Total magnetization (μB per atom): 0.062
Crystal system: monoclinic
Energy of formation from the pure elements (eV/atom): -1.03

```
CaPu2HfAs4
1.0
6.9730 0.0000 0.0000
0.0000 4.0681 0.0000
-2.3713 0.0000 6.7173
Ca Pu Hf As
1 2 1 4
Direct
0.0000 0.0000 0.0000
0.5000 0.0000 0.5000
0.5000 0.5000 0.0000
0.0000 0.5000 0.5000
0.2377 0.0000 0.7343
0.2473 0.5000 0.2660
0.7527 0.5000 0.7340
0.7623 0.0000 0.2657
```

No. 21
VASP calculation (PBE-GGA) on a geometry-optimized Ca2PuHfAs4 structure.

Summary:
Total magnetization (μB per atom): 0.515
Crystal system: monoclinic
Energy of formation from the pure elements (eV/atom): -1.08

```
Ca2PuHfAs4
1.0
7.0404 0.0000 0.0000
0.0000 4.0750 0.0000
-2.3276 0.0000 6.8077
Ca Pu Hf As
2 1 1 4
Direct
0.0000 0.0000 0.0000
0.5000 0.5000 0.0000
0.0000 0.5000 0.5000
0.5000 0.0000 0.5000
0.2531 0.0000 0.7276
0.2673 0.5000 0.2754
0.7327 0.5000 0.7246
0.7469 0.0000 0.2724
```

No. 22
VASP calculation (PBE-GGA) on a geometry-optimized Ca3Pu2HfAs6 structure.

Summary:
Total magnetization (μB per atom): 0.676
Crystal system: monoclinic
Energy of formation from the pure elements (eV/atom): -1.07

```
Ca3Pu2HfAs6
1.0
3.5647 -6.1755 0.0000
3.5647 6.1755 0.0000
-2.3829 0.0000 6.7868
Ca Pu Hf As
3 2 1 6
Direct
0.0000 0.0000 0.0000
0.3316 0.6684 0.0000
0.6684 0.3316 0.0000
0.1664 0.8336 0.5000
0.8336 0.1664 0.5000
0.5000 0.5000 0.5000
0.1011 0.4246 0.2735
0.2526 0.2526 0.7267
0.4246 0.1011 0.2735
0.5754 0.8989 0.7265
0.7474 0.7474 0.2733
0.8989 0.5754 0.7265
```

No. 23
VASP calculation (PBE-GGA) on a geometry-optimized Ca2HfAs3Rh4 structure.

Summary:
Total magnetization (μB per atom): 0.000
Crystal system: tetragonal
Energy of formation from the pure elements (eV/atom): -0.86

```
Ca2HfAs3Rh4
1.0
4.1055 0.0000 0.0000
0.0000 4.1055 0.0000
0.0000 0.0000 11.0701
Ca Hf As Rh
2 1 3 4
Direct
0.0000 0.5000 0.2329
0.5000 0.0000 0.7671
0.0000 0.0000 0.5000
0.0000 0.5000 0.8687
0.5000 0.0000 0.1313
0.5000 0.5000 0.5000
0.0000 0.0000 0.0000
0.0000 0.5000 0.6470
0.5000 0.0000 0.3530
0.5000 0.5000 0.0000
```